Here is an optimized crystal structure of CaNdSm4 from the Alexandria database. Energies are from GGA-PBE.

The structure in POSCAR format:
```
CaNdSm4
1.0
-0.8184 3.1702 1.6182
-8.8108 1.9207 -8.2187
-2.9506 -5.1370 8.5715
Ca Nd Sm
2 2 8
Direct
0.5000 0.5000 0.5000
0.0000 0.0000 0.0000
0.0000 0.0000 0.5000
0.5000 0.5000 0.0000
0.4996 0.1680 0.3416
0.9996 0.3320 0.1584
0.5004 0.8320 0.6584
0.0004 0.6680 0.8416
0.0005 0.6682 0.3282
0.5005 0.8318 0.1718
0.9995 0.3318 0.6718
0.4995 0.1682 0.8282
```

Calculated values
**Energy of formation from the pure elements**: 0.051 eV per atom
**M_tot**: 0.00 μB/f.u.
**Crystal system**: monoclinic
**Space-group type**: C2/m

Here is an optimized crystal structure of CaNd6Sm from the Alexandria database. Energies are from GGA-PBE.

The structure in POSCAR format:
```
CaNd6Sm
1.0
-1.9948 1.7893 -4.4845
-4.1017 -3.1878 0.5526
-5.0852 7.4505 5.2347
Ca Nd Sm
1 6 1
Direct
0.0000 0.0000 0.0000
0.5000 0.5000 0.0000
0.5000 0.5000 0.5000
0.5000 0.0000 0.2562
0.5000 0.0000 0.7438
0.0000 0.5000 0.2562
0.0000 0.5000 0.7438
0.0000 0.0000 0.5000
```

Calculated values
**Energy of formation from the pure elements**: 0.040 eV per atom
**M_tot**: 0.00 μB/f.u.
**Crystal system**: tetragonal
**Space-group type**: P4/mmm

Here is an optimized crystal structure of CaNd5Sm2 from the Alexandria database. Energies are from GGA-PBE.

The structure in POSCAR format:
```
CaNd5Sm2
1.0
4.1571 -2.0123 9.3832
4.6457 -7.2680 -5.9134
10.9712 -3.8295 1.6662
Ca Nd Sm
2 10 4
Direct
0.9034 0.0966 0.2500
0.0966 0.9034 0.7500
0.5479 0.4521 0.7500
0.4521 0.5479 0.2500
0.3051 0.6967 0.9174
0.1065 0.8942 0.0626
0.6967 0.3051 0.4174
0.1058 0.8935 0.4374
0.8942 0.1065 0.5626
0.8935 0.1058 0.9374
0.3033 0.6949 0.5826
0.6949 0.3033 0.0826
0.5000 0.0000 0.0000
0.5000 0.5000 0.0000
0.5000 0.5000 0.5000
0.0000 0.5000 0.5000
```

Calculated values
**Energy of formation from the pure elements**: 0.244 eV per atom
**M_tot**: 0.00 μB/f.u.
**Crystal system**: monoclinic
**Space-group type**: C2/c

Here is an optimized crystal structure of CaNd6Sm3 from the Alexandria database. Energies are from GGA-PBE.

The structure in POSCAR format:
```
CaNd6Sm3
1.0
-0.8551 -5.1620 -2.7765
9.1723 0.1107 -3.0306
3.5110 -6.1672 10.4008
Ca Nd Sm
2 12 6
Direct
0.5000 0.5000 0.5000
0.0000 0.0000 0.0000
0.5000 0.8486 0.8896
0.4999 0.8527 0.6033
0.4993 0.4684 0.2463
0.5007 0.5316 0.7537
0.5001 0.1473 0.3967
0.5000 0.1514 0.1104
0.0000 0.6514 0.3896
0.9999 0.6473 0.1033
0.9993 0.0316 0.7463
0.0007 0.9684 0.2537
0.0001 0.3527 0.8967
0.0000 0.3486 0.6104
0.4996 0.1920 0.7589
0.5000 0.5000 0.0000
0.5004 0.8080 0.2411
0.9996 0.3080 0.2589
0.0000 0.0000 0.5000
0.0004 0.6920 0.7411
```

Calculated values
**Energy of formation from the pure elements**: 0.197 eV per atom
**M_tot**: 0.00 μB/f.u.
**Crystal system**: monoclinic
**Space-group type**: P2_1/c

Here is an optimized crystal structure of CaNd5Sm4 from the Alexandria database. Energies are from GGA-PBE.

The structure in POSCAR format:
```
CaNd5Sm4
1.0
-3.5676 0.1663 -0.8794
-0.1982 -3.6712 0.1096
-6.1874 1.0898 25.3086
Ca Nd Sm
1 5 4
Direct
0.0000 0.0000 0.0000
0.5000 0.5000 0.1079
0.5000 0.5000 0.3032
0.5000 0.5000 0.5000
0.5000 0.5000 0.6968
0.5000 0.5000 0.8921
0.0000 0.0000 0.2031
0.0000 0.0000 0.4012
0.0000 0.0000 0.5988
0.0000 0.0000 0.7969
```

Calculated values
**Energy of formation from the pure elements**: 0.023 eV per atom
**M_tot**: 0.00 μB/f.u.
**Crystal system**: tetragonal
**Space-group type**: P4/mmm

Here is an optimized crystal structure of CaNd4Sm15 from the Alexandria database. Energies are from GGA-PBE.

The structure in POSCAR format:
```
CaNd4Sm15
1.0
5.1640 0.0000 0.0000
0.0000 5.1640 0.0000
0.0000 0.0000 25.7889
Ca Nd Sm
1 4 15
Direct
0.0000 0.0000 0.0000
0.0000 0.0000 0.2004
0.0000 0.0000 0.4003
0.0000 0.0000 0.5997
0.0000 0.0000 0.7996
0.5000 0.5000 0.0000
0.5000 0.5000 0.2000
0.5000 0.5000 0.4000
0.5000 0.5000 0.6000
0.5000 0.5000 0.8000
0.5000 0.0000 0.1027
0.5000 0.0000 0.3008
0.5000 0.0000 0.5000
0.5000 0.0000 0.6992
0.5000 0.0000 0.8973
0.0000 0.5000 0.1027
0.0000 0.5000 0.3008
0.0000 0.5000 0.5000
0.0000 0.5000 0.6992
0.0000 0.5000 0.8973
```

Calculated values
**Energy of formation from the pure elements**: 0.029 eV per atom
**M_tot**: 0.00 μB/f.u.
**Crystal system**: tetragonal
**Space-group type**: P4/mmm

Calculated energy, -4.2230, -4.3758, -4.1654, -4.2794, -4.4487, -4.5639 eV/atom (same order as the records).